PmEuAu (PBE-GGA, optimized geometry); electronic total energy = -19.4 eV per cell; calculated formation energy = -366.4 meV/atom; DOS at the Fermi energy = 1.508 states/eV/atom
1.0
4.102 0.000 0.000
0.000 5.003 0.000
0.000 -2.501 4.332
Eu Au Pm
1 1 1
Direct
0.623 0.667 0.333
0.295 0.333 0.667
0.082 0.000 0.000

***

AlTcNF2 (PBE-GGA, optimized geometry); electronic total energy = -30.8 eV per cell; DOS at the Fermi energy = 0.311 states/eV/atom
1.0
-2.868 -0.553 -2.139
1.932 -2.329 -1.987
-1.242 -3.144 2.478
Tc N F Al
1 1 2 1
Direct
0.500 0.500 0.500
0.000 0.000 0.500
0.500 0.000 0.000
0.000 0.500 0.000
0.000 0.000 0.000

***

AlBiN2 (PBE-GGA, optimized geometry); electronic total energy = -23.6 eV per cell; DOS at the Fermi energy = 0.273 states/eV/atom
1.0
1.850 0.000 6.255
-0.925 1.602 6.255
-0.925 -1.602 6.255
Al N Bi
1 2 1
Direct
0.500 0.500 0.500
0.882 0.882 0.882
0.118 0.118 0.118
0.000 0.000 0.000

***

Sr2AcTe3 (PBE-GGA, optimized geometry); electronic total energy = -26.7 eV per cell; DOS at the Fermi energy = 0.362 states/eV/atom
1.0
4.722 0.000 0.000
0.000 6.700 0.000
-2.361 -3.350 7.111
Te Ac Sr
3 1 2
Direct
0.500 0.000 0.500
0.168 0.668 0.835
0.832 0.332 0.165
0.500 0.500 0.500
0.833 0.833 0.166
0.167 0.167 0.834

***

EuTh2Al (PBE-GGA, optimized geometry); electronic total energy = -28.9 eV per cell; calculated formation energy = -11.7 meV/atom; DOS at the Fermi energy = 1.198 states/eV/atom
1.0
-2.909 -3.758 0.076
0.951 -0.640 4.792
-3.779 2.948 1.143
Eu Th Al
1 2 1
Direct
0.500 0.000 0.000
0.000 0.000 0.500
0.000 0.500 0.000
0.500 0.500 0.500

***

Ba2NaAs (PBE-GGA, optimized geometry); electronic total energy = -12.4 eV per cell; calculated formation energy = -649.5 meV/atom; DOS at the Fermi energy = 0.203 states/eV/atom
1.0
4.644 0.000 1.315
2.136 4.123 1.315
-0.357 -0.217 10.116
Na Ba As
1 2 1
Direct
0.500 0.500 0.500
0.726 0.726 0.822
0.274 0.274 0.178
0.000 0.000 0.000

***

Tb2GaSi2Ir5 (PBE-GGA, optimized geometry); electronic total energy = -151.2 eV per cell; DOS at the Fermi energy = 0.276 states/eV/atom
1.0
-0.027 -2.603 -2.378
-0.839 -6.506 7.132
-9.653 0.621 -0.569
Si Ir Ga Tb
4 10 2 4
Direct
0.000 0.876 0.376
0.000 0.624 0.876
0.000 0.124 0.624
0.000 0.376 0.124
0.500 0.067 0.789
0.500 0.789 0.933
0.500 0.289 0.567
0.500 0.567 0.711
0.500 0.500 0.000
0.500 0.933 0.211
0.500 0.000 0.500
0.500 0.211 0.067
0.500 0.711 0.433
0.500 0.433 0.289
0.000 0.000 0.000
0.000 0.500 0.500
0.000 0.175 0.325
0.000 0.675 0.175
0.000 0.825 0.675
0.000 0.325 0.825

***

TlCo4Br (PBE-GGA, optimized geometry); electronic total energy = -28.5 eV per cell; DOS at the Fermi energy = 1.277 states/eV/atom
1.0
-0.636 0.789 4.990
-4.582 1.285 1.810
-2.662 -3.329 2.785
Co Tl Br
4 1 1
Direct
0.626 0.626 0.123
0.626 0.123 0.626
0.626 0.626 0.626
0.123 0.626 0.626
0.250 0.250 0.250
0.000 0.000 0.000

***

SmY4Pd5 (PBE-GGA, optimized geometry); electronic total energy = -65.1 eV per cell; calculated formation energy = -851.9 meV/atom; DOS at the Fermi energy = 0.768 states/eV/atom
1.0
-2.205 1.530 -2.239
-2.455 0.099 2.486
5.932 16.186 5.216
Y Sm Pd
4 1 5
Direct
0.000 0.000 0.401
0.000 0.000 0.797
0.000 0.000 0.203
0.000 0.000 0.599
0.000 0.000 0.000
0.500 0.500 0.895
0.500 0.500 0.698
0.500 0.500 0.302
0.500 0.500 0.105
0.500 0.500 0.500

***

Sb3C2 (PBE-GGA, optimized geometry); electronic total energy = -50.9 eV per cell; DOS at the Fermi energy = 0.376 states/eV/atom
1.0
7.735 -0.004 1.908
3.232 -2.788 5.175
4.354 -3.547 -2.676
Sb C
6 4
Direct
0.264 0.314 0.927
0.659 0.341 0.341
0.323 0.756 0.986
0.494 0.927 0.314
0.936 0.986 0.756
0.909 0.591 0.591
0.613 0.622 0.546
0.628 0.637 0.031
0.704 0.031 0.637
0.219 0.546 0.622

***

LiZn3W (PBE-GGA, optimized geometry); electronic total energy = -14.5 eV per cell; calculated formation energy = 838.2 meV/atom; DOS at the Fermi energy = 0.636 states/eV/atom
1.0
-3.248 2.554 -0.396
-1.805 -2.696 -2.589
-1.850 -1.853 3.220
Zn W Li
3 1 1
Direct
0.000 0.000 0.500
0.000 0.500 0.000
0.500 0.000 0.000
0.500 0.500 0.500
0.000 0.000 0.000

***

Ba7Sn3S13 (PBE-GGA, optimized geometry); electronic total energy = -452.2 eV per cell; DOS at the Fermi energy = 0.000 states/eV/atom
1.0
-0.975 1.423 -8.873
3.079 -11.880 -2.244
-23.550 -6.399 1.562
Sn S Ba
12 52 28
Direct
0.799 0.051 0.948
0.307 0.754 0.750
0.701 0.551 0.948
0.799 0.051 0.552
0.299 0.449 0.448
0.299 0.449 0.052
0.693 0.246 0.250
0.193 0.254 0.750
0.701 0.551 0.552
0.201 0.949 0.448
0.807 0.746 0.250
0.201 0.949 0.052
0.008 0.164 0.572
0.861 0.555 0.250
0.674 0.784 0.331
0.811 0.580 0.036
0.385 0.911 0.378
0.174 0.716 0.831
0.139 0.135 0.429
0.189 0.420 0.536
0.689 0.080 0.464
0.326 0.216 0.831
0.336 0.610 0.250
0.361 0.945 0.750
0.115 0.411 0.378
0.174 0.716 0.669
0.508 0.336 0.428
0.885 0.589 0.878
0.992 0.836 0.428
0.361 0.635 0.071
0.508 0.336 0.072
0.964 0.153 0.750
0.361 0.635 0.429
0.492 0.664 0.572
0.861 0.865 0.929
0.689 0.080 0.036
0.464 0.347 0.250
0.811 0.580 0.464
0.189 0.420 0.964
0.615 0.089 0.878
0.115 0.411 0.122
0.639 0.055 0.250
0.139 0.445 0.750
0.826 0.284 0.169
0.861 0.865 0.571
0.492 0.664 0.928
0.664 0.390 0.750
0.639 0.365 0.929
0.536 0.653 0.750
0.036 0.847 0.250
0.139 0.135 0.071
0.311 0.920 0.964
0.615 0.089 0.622
0.008 0.164 0.928
0.992 0.836 0.072
0.311 0.920 0.536
0.639 0.365 0.571
0.326 0.216 0.669
0.885 0.589 0.622
0.674 0.784 0.169
0.836 0.890 0.750
0.164 0.110 0.250
0.826 0.284 0.331
0.385 0.911 0.122
0.381 0.187 0.966
0.402 0.858 0.250
0.619 0.813 0.466
0.119 0.687 0.534
0.881 0.313 0.466
0.598 0.142 0.750
0.392 0.159 0.155
0.087 0.975 0.659
0.608 0.841 0.655
0.108 0.659 0.155
0.913 0.025 0.341
0.108 0.659 0.345
0.413 0.475 0.841
0.608 0.841 0.845
0.902 0.642 0.750
0.913 0.025 0.159
0.587 0.525 0.159
0.619 0.813 0.034
0.119 0.687 0.966
0.381 0.187 0.534
0.392 0.159 0.345
0.413 0.475 0.659
0.098 0.358 0.250
0.892 0.341 0.845
0.881 0.313 0.034
0.892 0.341 0.655
0.587 0.525 0.341
0.087 0.975 0.841

***

Repeat the seventh record exactly.
Tb2GaSi2Ir5 (PBE-GGA, optimized geometry); electronic total energy = -151.2 eV per cell; DOS at the Fermi energy = 0.276 states/eV/atom
1.0
-0.027 -2.603 -2.378
-0.839 -6.506 7.132
-9.653 0.621 -0.569
Si Ir Ga Tb
4 10 2 4
Direct
0.000 0.876 0.376
0.000 0.624 0.876
0.000 0.124 0.624
0.000 0.376 0.124
0.500 0.067 0.789
0.500 0.789 0.933
0.500 0.289 0.567
0.500 0.567 0.711
0.500 0.500 0.000
0.500 0.933 0.211
0.500 0.000 0.500
0.500 0.211 0.067
0.500 0.711 0.433
0.500 0.433 0.289
0.000 0.000 0.000
0.000 0.500 0.500
0.000 0.175 0.325
0.000 0.675 0.175
0.000 0.825 0.675
0.000 0.325 0.825

***

Q: Among the records above, which one has the lowest electronic total energy?
A: Ba7Sn3S13